A relaxed Rb2BHCl6 crystal, computed with GGA-PBE.

Cell: 6.8910 6.8910 6.8910 Å, 115.81 115.81 97.43°
Fractional positions:
Rb1 0.2500 0.7500 0.5000
Rb2 0.7500 0.2500 0.5000
B1 0.0000 0.0000 0.0000
H1 0.5000 0.5000 0.0000
Cl1 0.1829 0.1829 0.0000
Cl2 0.2822 0.2822 0.5643
Cl3 0.2822 0.7178 0.0000
Cl4 0.7178 0.2822 0.0000
Cl5 0.7178 0.7178 0.4357
Cl6 0.8171 0.8171 0.0000

Values from the calculation:
Space-group type   I4/mmm, No. 139
Electronic total energy   -30.66 eV per cell
Density   2.7 Mg/m³
Crystal system   tetragonal
D(E_F)   0.00 states/eV per atom

=====

A relaxed TlBH2Cl crystal, computed with GGA-PBE.

Cell: 3.7877 3.7877 4.9471 Å, 90.00 90.00 90.00°
Fractional positions:
Tl1 0.0000 0.0000 0.0000
B1 0.0000 0.0000 0.5000
H1 0.0000 0.5000 0.0000
H2 0.5000 0.0000 0.0000
Cl1 0.5000 0.5000 0.5000

Values from the calculation:
Space-group type   P4/mmm, No. 123
Electronic total energy   -13.42 eV per cell
Density   5.9 Mg/m³
Crystal system   tetragonal
D(E_F)   0.17 states/eV per atom

=====

A relaxed ZnBHCl2 crystal, computed with GGA-PBE.

Cell: 4.7770 4.7770 3.1247 Å, 90.00 90.00 90.00°
Fractional positions:
Zn1 0.0000 0.0000 0.0000
B1 0.5000 0.5000 0.5000
H1 0.5000 0.5000 0.0000
Cl1 0.0000 0.5000 0.5000
Cl2 0.5000 0.0000 0.5000

Values from the calculation:
Space-group type   P4/mmm, No. 123
Electronic total energy   -13.01 eV per cell
Density   3.4 Mg/m³
Crystal system   tetragonal
D(E_F)   0.40 states/eV per atom